[1]
An optimized crystal structure of Sr2CaIr. Source: Alexandria, functional GGA-PBE.

Results
N(E_F) = 4.30 states/eV/cell
calculated total energy = -0.1346 hartree per atom
offset from the most stable computed form = 121 meV per atom
E_form = -105 meV per atom

Cell: 4.2840 6.0435 12.6155 Å, 90.00 90.00 90.00°
Space group Amm2 (No. 38)
Asymmetric unit:
Sr  0.0000  0.0000  0.0000 (multiplicity 2)
Sr  0.5000  0.0000  0.3417 (multiplicity 2)
Ca  0.0000  0.0000  0.7032 (multiplicity 2)
Ir  0.5000  0.0000  0.8426 (multiplicity 2)

[2]
An optimized crystal structure of TeRuW2. Source: Alexandria, functional GGA-PBE.

Results
E_form (uncorrected) = 0.613 eV/atom
N(E_F) = 6.72 states/eV/cell
calculated total energy = -0.3296 hartree per atom

Cell: 3.8729 3.8729 8.9266 Å, 90.00 90.00 90.00°
Space group I4/mmm (No. 139)
Asymmetric unit:
Te  0.0000  0.0000  0.0000 (multiplicity 2)
Ru  0.0000  0.0000  0.5000 (multiplicity 2)
W  0.0000  0.5000  0.2500 (multiplicity 4)

[3]
An optimized crystal structure of LiReNi6. Source: Alexandria, functional GGA-PBE.

Results
N(E_F) = 49.14 states/eV/cell
calculated total energy = -0.2260 hartree per atom
E_form = -19 meV per atom

Cell: 7.1583 10.0861 10.1147 Å, 90.00 90.00 90.00°
Space group Cmmm (No. 65)
Asymmetric unit:
Li  0.0000  0.0000  0.2463 (multiplicity 4)
Li  0.0000  0.2534  0.0000 (multiplicity 4)
Re  0.0000  0.2476  0.5000 (multiplicity 4)
Re  0.0000  0.5000  0.2374 (multiplicity 4)
Ni  0.0000  0.0000  0.0000 (multiplicity 2)
Ni  0.0000  0.0000  0.5000 (multiplicity 2)
Ni  0.0000  0.2507  0.2528 (multiplicity 8)
Ni  0.0000  0.5000  0.0000 (multiplicity 2)
Ni  0.0000  0.5000  0.5000 (multiplicity 2)
Ni  0.2472  0.3746  0.3762 (multiplicity 16)
Ni  0.2492  0.3756  0.1257 (multiplicity 16)

[4]
An optimized crystal structure of LiAsN. Source: Alexandria, functional GGA-PBE.

Results
E_form (uncorrected) = 0.097 eV/atom
N(E_F) = 2.24 states/eV/cell
calculated total energy = -0.1788 hartree per atom
offset from the most stable computed form = 223 meV per atom

Cell: 4.1607 6.0912 9.0338 Å, 90.00 90.00 90.00°
Space group Immm (No. 71)
Asymmetric unit:
Li  0.0000  0.0000  0.1456 (multiplicity 4)
As  0.0000  0.2174  0.5000 (multiplicity 4)
N  0.0000  0.0000  0.3559 (multiplicity 4)